The following is a GGA-PBE calculation of HoTlGeTe3 after structural relaxation, from OQMD.

Lattice parameters (Å, degrees): 7.926 7.926 11.699 90.00 90.00 146.20
Positions (direct):
Tl 0.749 0.251 0.250
Ge 0.966 0.034 0.750
Tl 0.251 0.749 0.750
Te 0.864 0.136 0.954
Ge 0.034 0.966 0.250
Te 0.864 0.136 0.546
Ho 0.500 0.500 0.000
Te 0.136 0.864 0.454
Te 0.578 0.422 0.750
Te 0.422 0.578 0.250
Te 0.136 0.864 0.046
Ho 0.500 0.500 0.500

* offset from the most stable computed form: 98 meV per atom
* mass density: 6.70 g/cm3
* magnetization: 0.000 μB per atom
* final energy: -4.10 eV per atom
* space group: Cmcm, No. 63

The following is a GGA-PBE calculation of YHoIn3Si2 after structural relaxation, from OQMD.

Lattice parameters (Å, degrees): 5.731 5.731 6.991 99.15 99.15 43.76
Positions (direct):
Si 0.907 0.907 0.881
In 0.305 0.305 0.650
Y 0.379 0.379 0.168
In 0.000 0.000 0.501
Si 0.093 0.093 0.117
Ho 0.621 0.621 0.832
In 0.695 0.695 0.350

* mass density: 6.95 g/cm3
* magnetization: 0.000 μB per atom
* final energy: -4.73 eV per atom
* space group: Cm, No. 8

The following is a GGA-PBE calculation of Na6Sn2W after structural relaxation, from OQMD.

Lattice parameters (Å, degrees): 5.728 5.728 9.166 94.71 94.71 56.27
Positions (direct):
Na 0.309 0.309 0.946
Na 0.823 0.823 0.397
Na 0.537 0.537 0.738
Sn 0.859 0.859 0.740
W 0.000 0.000 0.000
Na 0.463 0.463 0.262
Na 0.177 0.177 0.603
Sn 0.141 0.141 0.260
Na 0.691 0.691 0.054

* mass density: 3.73 g/cm3
* magnetization: 0.225 μB per atom
* final energy: -2.89 eV per atom
* space group: C2/m, No. 12

The following is a GGA-PBE calculation of Pd2SO after structural relaxation, from OQMD.

Lattice parameters (Å, degrees): 3.255 3.255 5.869 90.00 90.00 90.00
Positions (direct):
S 0.000 0.000 0.500
Pd 0.000 0.500 0.235
Pd 0.500 0.000 0.765
O 0.000 0.000 0.000

* offset from the most stable computed form: 0 meV per atom
* mass density: 6.97 g/cm3
* final energy: -5.26 eV per atom
* space group: P-4m2, No. 115

The following is a GGA-PBE calculation of KCdNO after structural relaxation, from OQMD.

Lattice parameters (Å, degrees): 3.477 6.429 7.142 90.00 90.00 90.00
Positions (direct):
K 0.500 0.519 0.819
N 0.000 0.811 0.419
K 0.500 0.019 0.181
O 0.500 0.429 0.166
N 0.000 0.311 0.581
Cd 0.000 0.995 0.668
O 0.500 0.929 0.834
Cd 0.000 0.495 0.332

* offset from the most stable computed form: 61 meV per atom
* mass density: 3.78 g/cm3
* final energy: -3.51 eV per atom
* space group: Pmc2_1, No. 26

The following is a GGA-PBE calculation of KPaTc after structural relaxation, from OQMD.

Lattice parameters (Å, degrees): 4.744 4.744 4.744 60.00 60.00 60.00
Positions (direct):
K 0.500 0.500 0.500
Pa 0.250 0.250 0.250
Tc 0.000 0.000 0.000

* offset from the most stable computed form: 0 meV per atom
* mass density: 8.10 g/cm3
* magnetization: 0.007 μB per atom
* final energy: -5.33 eV per atom
* space group: F-43m, No. 216

The following is a GGA-PBE calculation of NaSbPt after structural relaxation, from OQMD.

Lattice parameters (Å, degrees): 7.535 4.575 7.685 90.00 90.00 90.00
Positions (direct):
Na 0.511 0.750 0.677
Pt 0.688 0.250 0.902
Sb 0.826 0.250 0.584
Pt 0.812 0.750 0.402
Na 0.989 0.250 0.177
Na 0.011 0.750 0.823
Sb 0.326 0.250 0.916
Pt 0.188 0.250 0.598
Pt 0.312 0.750 0.098
Na 0.489 0.250 0.323
Sb 0.174 0.750 0.416
Sb 0.674 0.750 0.084

* mass density: 8.52 g/cm3
* magnetization: 0.000 μB per atom
* final energy: -4.35 eV per atom
* space group: Pnma, No. 62

The following is a GGA-PBE calculation of MgGaSiIr after structural relaxation, from OQMD.

Lattice parameters (Å, degrees): 4.427 4.427 4.427 60.00 60.00 60.00
Positions (direct):
Ir 0.000 0.000 0.000
Ga 0.500 0.500 0.500
Mg 0.750 0.750 0.750
Si 0.250 0.250 0.250

* offset from the most stable computed form: 164 meV per atom
* mass density: 8.51 g/cm3
* magnetization: 0.000 μB per atom
* final energy: -4.75 eV per atom
* space group: F-43m, No. 216

The following is a GGA-PBE calculation of LiTlSiPt after structural relaxation, from OQMD.

Lattice parameters (Å, degrees): 4.587 4.587 4.587 60.00 60.00 60.00
Positions (direct):
Pt 0.250 0.250 0.250
Tl 0.500 0.500 0.500
Li 0.750 0.750 0.750
Si 0.000 0.000 0.000

* offset from the most stable computed form: 0 meV per atom
* mass density: 10.58 g/cm3
* magnetization: 0.000 μB per atom
* final energy: -4.06 eV per atom
* space group: F-43m, No. 216

The following is a GGA-PBE calculation of LiTlAu2 after structural relaxation, from OQMD.

Lattice parameters (Å, degrees): 4.777 4.777 4.777 60.00 60.00 60.00
Positions (direct):
Au 0.000 0.000 0.000
Li 0.250 0.250 0.250
Tl 0.500 0.500 0.500
Au 0.750 0.750 0.750

* mass density: 13.04 g/cm3
* final energy: -2.94 eV per atom
* space group: F-43m, No. 216

The following is a GGA-PBE calculation of YErSn2Pd4 after structural relaxation, from OQMD.

Lattice parameters (Å, degrees): 4.577 4.577 8.936 90.00 90.00 120.00
Positions (direct):
Pd 0.333 0.667 0.163
Sn 0.000 0.000 0.250
Sn 0.000 0.000 0.750
Pd 0.667 0.333 0.335
Pd 0.667 0.333 0.665
Y 0.333 0.667 0.500
Pd 0.333 0.667 0.837
Er 0.667 0.333 0.000

* mass density: 9.42 g/cm3
* magnetization: 0.001 μB per atom
* final energy: -5.86 eV per atom
* space group: P-6m2, No. 187

The following is a GGA-PBE calculation of MgScGaFe after structural relaxation, from OQMD.

Lattice parameters (Å, degrees): 4.512 4.512 4.512 60.00 60.00 60.00
Positions (direct):
Fe 0.500 0.500 0.500
Sc 0.750 0.750 0.750
Mg 0.250 0.250 0.250
Ga 0.000 0.000 0.000

* offset from the most stable computed form: 2 meV per atom
* mass density: 4.98 g/cm3
* magnetization: 0.381 μB per atom
* final energy: -4.89 eV per atom
* space group: F-43m, No. 216

The following is a GGA-PBE calculation of TmZnW after structural relaxation, from OQMD.

Lattice parameters (Å, degrees): 4.676 4.676 4.676 60.00 60.00 60.00
Positions (direct):
Tm 0.000 0.000 0.000
Zn 0.750 0.750 0.750
W 0.250 0.250 0.250

* offset from the most stable computed form: 652 meV per atom
* mass density: 9.61 g/cm3
* magnetization: 0.984 μB per atom
* final energy: -4.82 eV per atom
* energy relative to the elements: 1418.0 meV per atom
* space group: F-43m, No. 216

The following is a GGA-PBE calculation of Pr2CuSb4 after structural relaxation, from OQMD.

Lattice parameters (Å, degrees): 4.424 4.424 9.740 90.00 90.00 90.00
Positions (direct):
Cu 0.000 0.000 0.000
Pr 0.500 0.000 0.237
Sb 0.500 0.000 0.864
Pr 0.000 0.500 0.763
Sb 0.500 0.500 0.500
Sb 0.000 0.500 0.136
Sb 0.000 0.000 0.500

* mass density: 7.25 g/cm3
* magnetization: 0.000 μB per atom
* final energy: -4.99 eV per atom
* space group: P-4m2, No. 115

The following is a GGA-PBE calculation of FeB4 after structural relaxation, from OQMD.

Lattice parameters (Å, degrees): 5.122 5.122 6.574 90.00 90.00 120.00
Positions (direct):
B 0.334 0.334 0.000
B 0.667 0.333 0.379
B 0.666 0.666 0.000
B 0.334 0.334 0.500
Fe 0.667 0.333 0.750
Fe 0.000 0.000 0.250
Fe 0.333 0.667 0.250
B 0.667 0.333 0.121
B 0.666 0.000 0.500
B 0.334 0.000 0.500
B 0.666 0.000 0.000
B 0.000 0.666 0.500
B 0.333 0.667 0.621
B 0.333 0.667 0.879
B 0.000 0.334 0.500
B 0.000 0.666 0.000
Fe 0.000 0.000 0.750
B 0.334 0.000 0.000
B 0.666 0.666 0.500
B 0.000 0.334 0.000

* mass density: 4.41 g/cm3
* magnetization: 0.512 μB per atom
* final energy: -6.74 eV per atom
* space group: P6_3/mmc, No. 194

The following is a GGA-PBE calculation of NdDyAlNi2 after structural relaxation, from OQMD.

Lattice parameters (Å, degrees): 5.431 5.431 5.431 134.37 120.04 78.47
Positions (direct):
Al 0.000 0.000 0.000
Dy 0.704 0.204 0.500
Ni 0.734 0.500 0.234
Ni 0.266 0.500 0.766
Nd 0.296 0.796 0.500

* mass density: 7.79 g/cm3
* magnetization: 0.002 μB per atom
* final energy: -5.34 eV per atom
* space group: Imm2, No. 44

The following is a GGA-PBE calculation of YHoZn4 after structural relaxation, from OQMD.

Lattice parameters (Å, degrees): 3.499 4.452 7.703 90.00 90.00 90.00
Positions (direct):
Zn 0.502 0.500 0.166
Zn 0.498 0.000 0.332
Ho 0.000 0.000 0.000
Y 0.000 0.500 0.500
Zn 0.502 0.000 0.668
Zn 0.498 0.500 0.834

* mass density: 7.13 g/cm3
* magnetization: 0.001 μB per atom
* final energy: -3.08 eV per atom
* energy relative to the elements: -394.6 meV per atom
* space group: P2/m, No. 10

The following is a GGA-PBE calculation of KGaAuO after structural relaxation, from OQMD.

Lattice parameters (Å, degrees): 8.684 8.684 6.871 90.00 90.00 152.50
Positions (direct):
Ga 0.423 0.577 0.878
K 0.880 0.120 0.326
O 0.603 0.397 0.123
K 0.120 0.880 0.326
O 0.397 0.603 0.123
Au 0.303 0.697 0.673
Au 0.697 0.303 0.673
Ga 0.577 0.423 0.878

* offset from the most stable computed form: 137 meV per atom
* mass density: 4.47 g/cm3
* final energy: -3.74 eV per atom
* space group: Cmm2, No. 35

The following is a GGA-PBE calculation of KPrHo after structural relaxation, from OQMD.

Lattice parameters (Å, degrees): 5.918 5.918 5.918 60.00 60.00 60.00
Positions (direct):
Ho 0.000 0.000 0.000
Pr 0.750 0.750 0.750
K 0.250 0.250 0.250

* offset from the most stable computed form: 0 meV per atom
* mass density: 3.91 g/cm3
* magnetization: 0.390 μB per atom
* final energy: -2.36 eV per atom
* space group: F-43m, No. 216

The following is a GGA-PBE calculation of NaLuOs after structural relaxation, from OQMD.

Lattice parameters (Å, degrees): 4.640 4.640 4.640 60.00 60.00 60.00
Positions (direct):
Lu 0.250 0.250 0.250
Na 0.750 0.750 0.750
Os 0.000 0.000 0.000

* offset from the most stable computed form: 0 meV per atom
* mass density: 9.12 g/cm3
* magnetization: 0.003 μB per atom
* final energy: -4.91 eV per atom
* space group: F-43m, No. 216